# CuReSe2

A geometry-optimized CuReSe2 structure (PBE, Alexandria).

Total DFT energy (no corrections) ... -5.4265 eV per atom
Offset from the most stable computed form ... 273 meV/atom
Total moment ... 0.00 μB/cell
Space-group type ... Cmm2
Energy relative to the elements, uncorrected ... 0.452 eV per atom

abc: 2.8849 2.8849 9.8231
angles: 90.00 90.00 115.52
Fractional coordinates of all 4 atoms:
Cu: 0.0000 0.0000 0.0000
Re: 0.5000 0.5000 0.7818
Se: 0.0000 0.0000 0.5819
Se: 0.5000 0.5000 0.2039

---

# SrBe2Se

A geometry-optimized SrBe2Se structure (PBE, Alexandria).

Total DFT energy (no corrections) ... -2.8868 eV per atom
Total moment ... 0.00 μB/cell
Space-group type ... P4/mmm
Energy relative to the elements, uncorrected ... 0.268 eV per atom

abc: 4.1508 4.1508 4.8553
angles: 90.00 90.00 90.00
Fractional coordinates of all 4 atoms:
Sr: 0.0000 0.0000 0.0000
Be: 0.0000 0.5000 0.5000
Be: 0.5000 0.0000 0.5000
Se: 0.5000 0.5000 0.0000